[1]
VASP calculation (PBE-GGA) on crystalline Sr2CuS3 at its relaxed geometry.

Results
- Symmetry: Immm (71)
- Volume: 23.68 Å³ per atom

Cell: 8.097 8.097 8.097 Å, 150.97 146.40 44.99°
Positions (direct):
1 Sr 0.146 0.146 0.000
2 Sr 0.854 0.854 0.000
3 Cu 0.500 0.500 0.000
4 S 0.000 0.500 0.500
5 S 0.345 0.345 0.000
6 S 0.655 0.655 0.000

[2]
VASP calculation (PBE-GGA) on crystalline LaReB4 at its relaxed geometry.

Results
- Relative energy among the computed polymorphs: 0.00 eV/f.u.
- Symmetry: P6/mmm (191)
- Volume: 10.70 Å³ per atom
- Magnetic moment: 0.00 Bohr magnetons per cell

Cell: 3.135 3.135 7.543 Å, 90.00 90.00 120.00°
Positions (direct):
1 La 0.000 0.000 0.000
2 Re 0.000 0.000 0.500
3 B 0.333 0.667 0.290
4 B 0.333 0.667 0.710
5 B 0.667 0.333 0.290
6 B 0.667 0.333 0.710

[3]
VASP calculation (PBE-GGA) on crystalline AcErW at its relaxed geometry.

Results
- Symmetry: F-43m (216)
- Volume: 29.55 Å³ per atom
- Magnetic moment: 0.01 Bohr magnetons per cell
- Energy of formation: 0.8511 eV/atom

Cell: 5.005 5.005 5.005 Å, 60.00 60.00 60.00°
Positions (direct):
1 Ac 0.000 0.000 0.000
2 Er 0.500 0.500 0.500
3 W 0.750 0.750 0.750

[4]
VASP calculation (PBE-GGA) on crystalline BIrPd2 at its relaxed geometry.

Results
- Symmetry: F-43m (216)
- Volume: 13.23 Å³ per atom
- Magnetic moment: 0.01 Bohr magnetons per cell

Cell: 4.214 4.214 4.214 Å, 60.00 60.00 60.00°
Positions (direct):
1 B 0.000 0.000 0.000
2 Ir 0.250 0.250 0.250
3 Pd 0.500 0.500 0.500
4 Pd 0.750 0.750 0.750

[5]
VASP calculation (PBE-GGA) on crystalline CsSmGa at its relaxed geometry.

Results
- Relative energy among the computed polymorphs: 0.93 eV/f.u.
- Symmetry: F-43m (216)
- Volume: 35.70 Å³ per atom
- Magnetic moment: 0.00 Bohr magnetons per cell

Cell: 5.330 5.330 5.330 Å, 60.00 60.00 60.00°
Positions (direct):
1 Cs 0.000 0.000 0.000
2 Sm 0.250 0.250 0.250
3 Ga 0.750 0.750 0.750

[6]
VASP calculation (PBE-GGA) on crystalline Dy2SiGeAu2 at its relaxed geometry.

Results
- Symmetry: P3m1 (156)
- Volume: 20.75 Å³ per atom
- Magnetic moment: 0.00 Bohr magnetons per cell

Cell: 4.418 4.418 7.366 Å, 90.00 90.00 120.00°
Positions (direct):
1 Dy 0.000 0.000 0.000
2 Dy 0.000 0.000 0.498
3 Si 0.667 0.333 0.211
4 Ge 0.333 0.667 0.707
5 Au 0.333 0.667 0.275
6 Au 0.667 0.333 0.790

| no. | calculated total energy (eV for the cell shown) |
| --- | --- |
| 1 | -28.01 |
| 2 | -44.86 |
| 3 | -19.08 |
| 4 | -23.72 |
| 5 | -5.91 |
| 6 | -30.72 |